Here is a relaxed structure of PrNdSmEr from Alexandria. Energies are from GGA-PBE.

CIF file:
```
data_PrNdSmEr
_cell_length_a 3.6470
_cell_length_b 3.6470
_cell_length_c 11.7600
_cell_angle_alpha 90.00
_cell_angle_beta 90.00
_cell_angle_gamma 120.00
_symmetry_space_group_name_H-M 'P 3 m 1'
_symmetry_Int_Tables_number 156
_symmetry_space_group_name_Hall 'P 3 -2"'
loop_
_atom_site_label
_atom_site_fract_x
_atom_site_fract_y
_atom_site_fract_z
_atom_site_occupancy
Pr1 0.0000 0.0000 0.0000 1
Nd1 0.6667 0.3333 0.7426 1
Sm1 0.3333 0.6667 0.4918 1
Er1 0.6667 0.3333 0.2486 1
```

Values from the calculation:
Mass density: 7.389 g/cm³
Energy relative to the elements: 14 meV/atom